No. 1
The following is a DFT calculation (GGA-PBE) of an optimized crystal structure of SrMoIr2.

The structure in CIF format:
```
data_SrMoIr2
_symmetry_space_group_name_H-M 'P 1'
_symmetry_Int_Tables_number 1
_symmetry_space_group_name_Hall 'P 1'
_cell_length_a 6.0349
_cell_length_b 6.0349
_cell_length_c 6.0349
_cell_angle_alpha 152.64
_cell_angle_beta 131.96
_cell_angle_gamma 56.16
loop_
_atom_site_label
_atom_site_fract_x
_atom_site_fract_y
_atom_site_fract_z
Ir1 0.9679 0.9679 0.0000
Ir2 0.7487 0.2487 0.5000
Mo1 0.5380 0.5380 0.0000
Sr1 0.2454 0.7454 0.5000
```

Values from the calculation:
The value obtained for the magnetic moment is 0.000 μB/cell. Its space-group type is Imm2. The value obtained for the energy above the most stable polymorph in this dataset is 303 meV/atom. The final energy is -28.923 eV/cell.


No. 2
The following is a DFT calculation (GGA-PBE) of an optimized crystal structure of Sr3MoIr.

The structure in CIF format:
```
data_Sr3MoIr
_symmetry_space_group_name_H-M 'P 1'
_symmetry_Int_Tables_number 1
_symmetry_space_group_name_Hall 'P 1'
_cell_length_a 5.7886
_cell_length_b 5.7886
_cell_length_c 5.7886
_cell_angle_alpha 90.00
_cell_angle_beta 90.00
_cell_angle_gamma 90.00
loop_
_atom_site_label
_atom_site_fract_x
_atom_site_fract_y
_atom_site_fract_z
Sr1 0.0000 0.5000 0.0000
Sr2 0.0000 0.0000 0.5000
Sr3 0.5000 0.0000 0.0000
Mo1 0.5000 0.5000 0.5000
Ir1 0.0000 0.0000 0.0000
```

Values from the calculation:
The value obtained for the magnetic moment is 4.902 μB/cell. Its space-group type is Pm-3m. The value obtained for the energy above the most stable polymorph in this dataset is 0 meV/atom. The final energy is -21.089 eV/cell.


No. 3
The following is a DFT calculation (GGA-PBE) of an optimized crystal structure of SrMo2Ir.

The structure in CIF format:
```
data_SrMo2Ir
_symmetry_space_group_name_H-M 'P 1'
_symmetry_Int_Tables_number 1
_symmetry_space_group_name_Hall 'P 1'
_cell_length_a 5.6074
_cell_length_b 5.6074
_cell_length_c 2.8047
_cell_angle_alpha 81.90
_cell_angle_beta 81.90
_cell_angle_gamma 120.78
loop_
_atom_site_label
_atom_site_fract_x
_atom_site_fract_y
_atom_site_fract_z
Ir1 0.0000 0.5000 0.5000
Mo1 0.0000 0.0000 0.0000
Mo2 0.5000 0.5000 0.0000
Sr1 0.5000 0.0000 0.5000
```

Values from the calculation:
The value obtained for the magnetic moment is 0.000 μB/cell. Its space-group type is C2/m. The value obtained for the energy above the most stable polymorph in this dataset is 387 meV/atom. The final energy is -29.096 eV/cell.


| no. | ΔE_f (eV per atom) |
| --- | --- |
| 1 | 0.328 |
| 2 | 0.730 |
| 3 | 0.777 |